A geometry-optimized Ba2CoAgO4 structure. Source: Alexandria, functional GGA+U.

POSCAR file:
```
Ba2CoAgO4
1.0
-3.098 3.098 3.518
3.098 -3.098 3.518
3.098 3.098 -3.518
Ba Co Ag O
2 1 1 4
Direct
0.000 0.000 0.000 Ba
0.750 0.250 0.500 Ba
0.250 0.750 0.500 Co
0.500 0.500 0.000 Ag
0.146 0.051 0.543 O
0.397 0.854 0.905 O
0.508 0.603 0.457 O
0.949 0.492 0.095 O
```

Magnetic moment (μB/f.u.): 2.0
Calculated total energy (eV for the cell shown): -43.5